[1]
A relaxed structure of LaRuCl, computed with PBE-GGA.

Output
- energy above the most stable polymorph in this dataset (meV per atom) = 0.0
- magnetization (μB/cell) = 0.00
- raw formation energy (eV/f.u.) = -3.47
- SG = R-3m, No. 166
- E_tot (eV/f.u.) = -19.52
- DOS(E_F) (states/eV/f.u.) = 2.02
- calculated density (g/cm3) = 5.350

Cell lengths 11.1426, 11.1426, 11.1426 Å; angles 22.05, 22.05, 22.05 degrees
Fractional coordinates of all 6 atoms:
La  0.0640  0.0640  0.0640
La  0.9360  0.9360  0.9360
Ru  0.3364  0.3364  0.3364
Ru  0.6636  0.6636  0.6636
Cl  0.2177  0.2177  0.2177
Cl  0.7823  0.7823  0.7823

=====

[2]
A relaxed structure of ZrSb2Se, computed with PBE-GGA.

Output
- magnetization (μB/cell) = 0.00
- raw formation energy (eV/f.u.) = -1.94
- SG = P4mm, No. 99
- E_tot (eV/f.u.) = -22.22
- DOS(E_F) (states/eV/f.u.) = 2.81
- calculated density (g/cm3) = 7.218

Cell lengths 3.5984, 3.5984, 7.3502 Å; angles 90.00, 90.00, 90.00 degrees
Fractional coordinates of all 4 atoms:
Zr  0.0000  0.0000  0.0000
Sb  0.0000  0.0000  0.5009
Sb  0.5000  0.5000  0.2528
Se  0.5000  0.5000  0.8325

=====

[3]
A relaxed structure of Li5TlAg2, computed with PBE-GGA.

Output
- magnetization (μB/cell) = 0.00
- SG = I4/mmm, No. 139
- E_tot (eV/f.u.) = -19.33
- DOS(E_F) (states/eV/f.u.) = 2.24
- calculated density (g/cm3) = 5.407
- formation energy from the elements (eV/atom) = -0.21

Cell lengths 8.2141, 8.2141, 8.2141 Å; angles 149.82, 149.82, 43.20 degrees
Fractional coordinates of all 8 atoms:
Li  0.0000  0.0000  0.0000
Li  0.1355  0.6355  0.5000
Li  0.3645  0.8645  0.5000
Li  0.6355  0.1355  0.5000
Li  0.8645  0.3645  0.5000
Tl  0.5000  0.5000  0.0000
Ag  0.2508  0.2508  0.0000
Ag  0.7492  0.7492  0.0000